Compound: HfCoNiAs
Source: OQMD via LeMat-Bulk
Functional: GGA-PBE
Structure: optimized geometry

a = 4.2801 Å, b = 4.2801 Å, c = 4.2801 Å
α = 60.00°, β = 60.00°, γ = 60.00°
Closest atoms and distances in Å follow each position.
Fractional positions:
1 Co 0.7500 0.7500 0.7500  4 Hf 2.62, 4 As 2.62
2 As 0.0000 0.0000 0.0000  4 Ni 2.62, 4 Co 2.62
3 Ni 0.2500 0.2500 0.2500  4 As 2.62, 4 Hf 2.62
4 Hf 0.5000 0.5000 0.5000  4 Co 2.62, 4 Ni 2.62

* ΔE to the lowest computed polymorph: 0 meV per atom
* symmetry: No. 216
* magnetic moment: 0.00 μB/atom

Compound: ZnPPtO
Source: OQMD via LeMat-Bulk
Functional: GGA-PBE
Structure: optimized geometry

a = 3.1063 Å, b = 7.0018 Å, c = 5.4014 Å
α = 90.00°, β = 90.00°, γ = 90.00°
Closest atoms and distances in Å follow each position.
Fractional positions:
1 Zn 0.5000 0.3034 0.3592  2 O 1.96
2 Zn 0.5000 0.6966 0.8592  2 O 1.96
3 O 0.0000 0.4241 0.5141  2 Zn 1.96, 1 Pt 2.10
4 O 0.0000 0.5759 0.0141  2 Zn 1.96, 1 Pt 2.10
5 P 0.5000 0.0443 0.9321  2 Pt 2.27, 1 Zn 2.47
6 P 0.5000 0.9557 0.4321  2 Pt 2.27, 1 Zn 2.47
7 Pt 0.0000 0.7202 0.4487  1 O 2.10, 2 P 2.27
8 Pt 0.0000 0.2798 0.9487  1 O 2.10, 2 P 2.27

* ΔE to the lowest computed polymorph: 170 meV per atom
* symmetry: No. 26
* magnetic moment: 0.00 μB/atom

Compound: TaOs3
Source: OQMD via LeMat-Bulk
Functional: GGA-PBE
Structure: optimized geometry

a = 4.8620 Å, b = 5.5360 Å, c = 9.1353 Å
α = 90.00°, β = 100.59°, γ = 90.00°
Closest atoms and distances in Å follow each position.
Fractional positions:
1 Os 0.7068 0.4949 0.6243  8 Os 2.71-2.82, 4 Ta 2.78-2.82
2 Os 0.7929 0.7500 0.3761  4 Ta 2.75-2.78, 8 Os 2.77-2.79
3 Os 0.7068 0.0051 0.6243  8 Os 2.71-2.82, 4 Ta 2.78-2.82
4 Os 0.8861 0.0000 0.1241  8 Os 2.70-2.88, 4 Ta 2.75-2.84
5 Os 0.2932 0.9949 0.3757  8 Os 2.71-2.82, 4 Ta 2.78-2.82
6 Os 0.1139 0.5001 0.8759  8 Os 2.70-2.88, 4 Ta 2.75-2.84
7 Os 0.6327 0.7500 0.8752  4 Ta 2.71-2.77, 8 Os 2.72-2.88
8 Os 0.8861 0.4999 0.1241  8 Os 2.70-2.88, 4 Ta 2.75-2.84
9 Os 0.1139 0.0000 0.8759  8 Os 2.70-2.88, 4 Ta 2.75-2.84
10 Os 0.2932 0.5051 0.3757  8 Os 2.71-2.82, 4 Ta 2.78-2.82
11 Os 0.2071 0.2500 0.6239  4 Ta 2.75-2.78, 8 Os 2.77-2.79
12 Os 0.3673 0.2500 0.1248  4 Ta 2.71-2.77, 8 Os 2.72-2.88
13 Ta 0.3939 0.7500 0.1203  12 Os 2.71-2.84
14 Ta 0.6061 0.2500 0.8797  12 Os 2.71-2.84
15 Ta 0.7919 0.2500 0.3707  12 Os 2.75-2.81
16 Ta 0.2081 0.7500 0.6293  12 Os 2.75-2.81

* energy of formation: -98.2 meV/atom
* symmetry: No. 11
* magnetic moment: 0.00 μB/atom

Compound: MgCoSn
Source: OQMD via LeMat-Bulk
Functional: GGA-PBE
Structure: optimized geometry

a = 8.5111 Å, b = 4.2923 Å, c = 6.0940 Å
α = 90.00°, β = 90.00°, γ = 90.00°
Closest atoms and distances in Å follow each position.
Fractional positions:
1 Sn 0.1589 0.7500 0.2926  4 Co 2.55-2.60
2 Sn 0.8411 0.2500 0.7074  4 Co 2.55-2.60
3 Sn 0.3411 0.2500 0.7926  4 Co 2.55-2.60
4 Sn 0.6589 0.7500 0.2074  4 Co 2.55-2.60
5 Mg 0.6073 0.7500 0.7061  4 Co 2.68-2.79, 2 Sn 2.93
6 Mg 0.8927 0.2500 0.2061  4 Co 2.68-2.79, 2 Sn 2.93
7 Mg 0.1073 0.7500 0.7939  4 Co 2.68-2.79, 2 Sn 2.93
8 Mg 0.3927 0.2500 0.2939  4 Co 2.68-2.79, 2 Sn 2.93
9 Co 0.3902 0.7500 0.0239  4 Sn 2.55-2.60, 4 Mg 2.68-2.79
10 Co 0.6098 0.2500 0.9761  4 Sn 2.55-2.60, 4 Mg 2.68-2.79
11 Co 0.8902 0.7500 0.4761  4 Sn 2.55-2.60, 4 Mg 2.68-2.79
12 Co 0.1098 0.2500 0.5239  4 Sn 2.55-2.60, 4 Mg 2.68-2.79

* DFT total energy: -52.39 eV per cell
* symmetry: No. 62
* magnetic moment: 0.00 μB/atom